This record from OQMD describes a relaxed AcReTe crystal. The functional is PBE.

POSCAR file:
```
AcReTe
1.0
-1.7780 -4.5483 -0.1843
-4.6058 -0.7664 -1.4425
-0.8895 -2.1026 -4.3209
Ac Re Te
1 1 1
Direct
0.7500 0.7500 0.7500
0.0000 0.0000 0.0000
0.2500 0.2500 0.2500
```

Computed properties:
- symmetry = F-43m, No. 216
- uncorrected energy (eV per atom) = -6.196
- energy above the lowest structure with this stoichiometry (kJ/mol of atoms) = 0.00